An optimized crystal structure of PuBr2O6F. Source: Alexandria, functional PBE-GGA.

Unit cell a=5.130 b=5.743 c=6.671 alpha=82.58 beta=72.96 gamma=85.31
Element x y z (fractional)
Pu 0.000 0.000 0.000
Br 0.384 0.340 0.262
Br 0.625 0.669 0.732
O 0.105 0.797 0.190
O 0.216 0.268 0.078
O 0.358 0.881 0.742
O 0.629 0.110 0.258
O 0.763 0.726 0.935
O 0.892 0.200 0.809
F 0.529 0.502 0.479

Computed properties:
**Calculated total energy**: -5.930 eV per atom
**ΔE_f (raw)**: -10.00 eV per formula unit

An optimized crystal structure of Rb7BrO2F2. Source: Alexandria, functional PBE-GGA.

Unit cell a=12.096 b=12.096 c=12.096 alpha=152.80 beta=38.85 gamma=152.79
Element x y z (fractional)
Rb 0.000 0.000 0.000
Rb 0.129 0.506 0.622
Rb 0.242 0.006 0.236
Rb 0.383 0.505 0.878
Rb 0.627 0.505 0.122
Rb 0.769 0.006 0.764
Rb 0.884 0.506 0.378
Br 0.508 0.008 0.500
O 0.126 0.006 0.120
O 0.886 0.006 0.880
F 0.256 0.506 0.750
F 0.755 0.506 0.250

Computed properties:
**Calculated total energy**: -3.462 eV per atom
**ΔE_f (raw)**: -19.44 eV per formula unit